No. 1
VASP calculation (PBE-GGA) on a relaxed structure of LiTbGdMo.

Values from the calculation:
The calculation puts the theoretical density at 7.8 g/cm³. The calculation puts the calculated formation energy at 268 meV/atom. As for the uncorrected energy: -121.5 eV per cell. The size of the total moment is 1.73 μB/atom.

Unit cell a=7.0876 b=7.0876 c=7.0876 alpha=90.00 beta=90.00 gamma=90.00
With the nearest neighbours (Å) after each atom.
Space group F-43m (No. 216)
Inequivalent atoms, fractional coordinates:
Li  0.0000  0.0000  0.0000  4 Gd 3.07, 4 Tb 3.07
Tb  0.2500  0.2500  0.7500  4 Mo 3.07, 4 Li 3.07
Gd  0.2500  0.2500  0.2500  4 Mo 3.07, 4 Li 3.07
Mo  0.0000  0.0000  0.5000  4 Gd 3.07, 4 Tb 3.07


No. 2
VASP calculation (PBE-GGA) on a relaxed structure of LiGdTmMo.

Values from the calculation:
The calculation puts the theoretical density at 8.1 g/cm³. The calculation puts the calculated formation energy at 254 meV/atom. As for the uncorrected energy: -121.1 eV per cell. The size of the total moment is 1.57 μB/atom.

Unit cell a=7.0593 b=7.0593 c=7.0593 alpha=90.00 beta=90.00 gamma=90.00
With the nearest neighbours (Å) after each atom.
Space group F-43m (No. 216)
Inequivalent atoms, fractional coordinates:
Li  0.0000  0.0000  0.0000  4 Tm 3.06, 4 Gd 3.06
Gd  0.2500  0.2500  0.2500  4 Mo 3.06, 4 Li 3.06
Tm  0.2500  0.2500  0.7500  4 Mo 3.06, 4 Li 3.06
Mo  0.0000  0.0000  0.5000  4 Gd 3.06, 4 Tm 3.06


No. 3
VASP calculation (PBE-GGA) on a relaxed structure of LiGdYMo.

Values from the calculation:
The calculation puts the theoretical density at 6.4 g/cm³. The calculation puts the calculated formation energy at 276 meV/atom. As for the uncorrected energy: -128.7 eV per cell. The size of the total moment is 1.53 μB/atom.

Unit cell a=7.1256 b=7.1256 c=7.1256 alpha=90.00 beta=90.00 gamma=90.00
With the nearest neighbours (Å) after each atom.
Space group F-43m (No. 216)
Inequivalent atoms, fractional coordinates:
Li  0.0000  0.0000  0.0000  4 Gd 3.09, 4 Y 3.09
Gd  0.2500  0.2500  0.2500  4 Mo 3.09, 4 Li 3.09
Y  0.2500  0.2500  0.7500  4 Mo 3.09, 4 Li 3.09
Mo  0.0000  0.0000  0.5000  4 Gd 3.09, 4 Y 3.09


No. 4
VASP calculation (PBE-GGA) on a relaxed structure of LiGd3N.

Values from the calculation:
The calculation puts the theoretical density at 6.9 g/cm³. As for the uncorrected energy: -55.2 eV per cell. The size of the total moment is 4.63 μB/atom. As for the uncorrected formation energy: -0.55 eV per atom.

Unit cell a=4.9140 b=4.9140 c=4.9140 alpha=90.00 beta=90.00 gamma=90.00
With the nearest neighbours (Å) after each atom.
Space group Pm-3m (No. 221)
Inequivalent atoms, fractional coordinates:
Li  0.0000  0.0000  0.0000  12 Gd 3.47
Gd  0.0000  0.5000  0.5000  2 N 2.46
N  0.5000  0.5000  0.5000  6 Gd 2.46


No. 5
VASP calculation (PBE-GGA) on a relaxed structure of NaLi4Gd.

Values from the calculation:
The calculation puts the theoretical density at 2.3 g/cm³. The calculation puts the calculated formation energy at 136 meV/atom. As for the uncorrected energy: -88.9 eV per cell. The size of the total moment is 1.39 μB/atom.

Unit cell a=8.4235 b=8.4235 c=8.4235 alpha=90.00 beta=90.00 gamma=90.00
With the nearest neighbours (Å) after each atom.
Space group F-43m (No. 216)
Inequivalent atoms, fractional coordinates:
Na  0.0000  0.0000  0.0000  12 Li 3.49, 4 Gd 3.65
Li  0.1249  0.1249  0.6249  6 Li 2.98
Gd  0.2500  0.2500  0.2500  12 Li 3.49, 4 Na 3.65


No. 6
VASP calculation (PBE-GGA) on a relaxed structure of NaLiGd2.

Values from the calculation:
The calculation puts the theoretical density at 4.6 g/cm³. The calculation puts the calculated formation energy at 270 meV/atom. As for the uncorrected energy: -90.9 eV per cell. The size of the total moment is 3.75 μB/atom.

Unit cell a=3.4017 b=3.4017 c=36.8648 alpha=90.00 beta=90.00 gamma=120.00
With the nearest neighbours (Å) after each atom.
Space group R-3m (No. 166, hexagonal axes)
Inequivalent atoms, fractional coordinates:
Na  0.0000  0.0000  0.0000  6 Na 3.40, 2 Gd 3.47
Li  0.0000  0.0000  0.5000  6 Gd 3.32, 6 Li 3.40
Gd  0.0000  0.0000  0.0941  3 Li 3.32, 6 Gd 3.40, 1 Na 3.47


No. 7
VASP calculation (PBE-GGA) on a relaxed structure of NaLiGdSn.

Values from the calculation:
The calculation puts the theoretical density at 5.0 g/cm³. The calculation puts the calculated formation energy at -275 meV/atom. As for the uncorrected energy: -89.7 eV per cell. The size of the total moment is 1.83 μB/atom.

Unit cell a=7.4186 b=7.4186 c=7.4186 alpha=90.00 beta=90.00 gamma=90.00
With the nearest neighbours (Å) after each atom.
Space group F-43m (No. 216)
Inequivalent atoms, fractional coordinates:
Na  0.0000  0.0000  0.0000  4 Sn 3.21, 4 Li 3.21
Li  0.2500  0.2500  0.2500  4 Gd 3.21, 4 Na 3.21
Gd  0.0000  0.0000  0.5000  4 Sn 3.21, 4 Li 3.21
Sn  0.2500  0.2500  0.7500  4 Gd 3.21, 4 Na 3.21


No. 8
VASP calculation (PBE-GGA) on a relaxed structure of NaLiGdTl.

Values from the calculation:
The calculation puts the theoretical density at 6.3 g/cm³. The calculation puts the calculated formation energy at -87 meV/atom. As for the uncorrected energy: -80.1 eV per cell. The size of the total moment is 1.82 μB/atom.

Unit cell a=7.4475 b=7.4475 c=7.4475 alpha=90.00 beta=90.00 gamma=90.00
With the nearest neighbours (Å) after each atom.
Space group F-43m (No. 216)
Inequivalent atoms, fractional coordinates:
Na  0.0000  0.0000  0.0000  4 Tl 3.22, 4 Li 3.22
Li  0.2500  0.2500  0.7500  4 Gd 3.22, 4 Na 3.22
Gd  0.0000  0.0000  0.5000  4 Tl 3.22, 4 Li 3.22
Tl  0.2500  0.2500  0.2500  4 Gd 3.22, 4 Na 3.22


No. 9
VASP calculation (PBE-GGA) on a relaxed structure of LiGd2Nb.

Values from the calculation:
The calculation puts the theoretical density at 6.8 g/cm³. The calculation puts the calculated formation energy at 556 meV/atom. As for the uncorrected energy: -113.8 eV per cell. The size of the total moment is 3.69 μB/atom.

Unit cell a=3.1815 b=3.1815 c=34.7020 alpha=90.00 beta=90.00 gamma=120.00
With the nearest neighbours (Å) after each atom.
Space group R-3m (No. 166, hexagonal axes)
Inequivalent atoms, fractional coordinates:
Li  0.0000  0.0000  0.0000  6 Li 3.18, 6 Gd 3.43
Gd  0.0000  0.0000  0.4167  1 Nb 2.89, 6 Gd 3.18
Nb  0.0000  0.0000  0.5000  2 Gd 2.89, 6 Nb 3.18


No. 10
VASP calculation (PBE-GGA) on a relaxed structure of LiGdNbOs.

Values from the calculation:
The calculation puts the theoretical density at 10.1 g/cm³. The calculation puts the calculated formation energy at 22 meV/atom. As for the uncorrected energy: -148.8 eV per cell. The size of the total moment is 1.74 μB/atom.

Unit cell a=6.6417 b=6.6417 c=6.6417 alpha=90.00 beta=90.00 gamma=90.00
With the nearest neighbours (Å) after each atom.
Space group F-43m (No. 216)
Inequivalent atoms, fractional coordinates:
Li  0.0000  0.0000  0.0000  4 Nb 2.88, 4 Gd 2.88
Gd  0.2500  0.2500  0.7500  4 Li 2.88, 4 Os 2.88
Nb  0.2500  0.2500  0.2500  4 Os 2.88, 4 Li 2.88
Os  0.0000  0.0000  0.5000  4 Gd 2.88, 4 Nb 2.88


No. 11
VASP calculation (PBE-GGA) on a relaxed structure of LiGdNbRu.

Values from the calculation:
The calculation puts the theoretical density at 8.1 g/cm³. The calculation puts the calculated formation energy at 25 meV/atom. As for the uncorrected energy: -141.0 eV per cell. The size of the total moment is 1.73 μB/atom.

Unit cell a=6.6432 b=6.6432 c=6.6432 alpha=90.00 beta=90.00 gamma=90.00
With the nearest neighbours (Å) after each atom.
Space group F-43m (No. 216)
Inequivalent atoms, fractional coordinates:
Li  0.0000  0.0000  0.0000  4 Gd 2.88, 4 Nb 2.88
Gd  0.2500  0.2500  0.7500  4 Li 2.88, 4 Ru 2.88
Nb  0.2500  0.2500  0.2500  4 Li 2.88, 4 Ru 2.88
Ru  0.0000  0.0000  0.5000  4 Gd 2.88, 4 Nb 2.88


No. 12
VASP calculation (PBE-GGA) on a relaxed structure of LiGdNbTc.

Values from the calculation:
The calculation puts the theoretical density at 8.0 g/cm³. The calculation puts the calculated formation energy at 111 meV/atom. As for the uncorrected energy: -144.0 eV per cell. The size of the total moment is 1.89 μB/atom.

Unit cell a=6.6536 b=6.6536 c=6.6536 alpha=90.00 beta=90.00 gamma=90.00
With the nearest neighbours (Å) after each atom.
Space group F-43m (No. 216)
Inequivalent atoms, fractional coordinates:
Li  0.0000  0.0000  0.0000  4 Gd 2.88, 4 Nb 2.88
Gd  0.2500  0.2500  0.2500  4 Li 2.88, 4 Tc 2.88
Nb  0.2500  0.2500  0.7500  4 Li 2.88, 4 Tc 2.88
Tc  0.0000  0.0000  0.5000  4 Nb 2.88, 4 Gd 2.88


No. 13
VASP calculation (PBE-GGA) on a relaxed structure of LiNdGd2.

Values from the calculation:
The calculation puts the theoretical density at 6.4 g/cm³. The calculation puts the calculated formation energy at 139 meV/atom. As for the uncorrected energy: -34.3 eV per cell. The calculation puts the energy above the lowest structure with this stoichiometry at 0.077 eV per atom. The size of the total moment is 3.84 μB/atom.

Unit cell a=5.7234 b=5.7234 c=3.7036 alpha=90.00 beta=90.00 gamma=90.00
With the nearest neighbours (Å) after each atom.
Space group P4/mmm (No. 123)
Inequivalent atoms, fractional coordinates:
Li  0.0000  0.0000  0.0000  8 Gd 3.41, 2 Li 3.70
Nd  0.5000  0.5000  0.0000  8 Gd 3.41, 2 Nd 3.70
Gd  0.0000  0.5000  0.5000  4 Li 3.41, 4 Nd 3.41, 2 Gd 3.70


No. 14
VASP calculation (PBE-GGA) on a relaxed structure of LiNdGd2.

Values from the calculation:
The calculation puts the theoretical density at 5.9 g/cm³. The calculation puts the calculated formation energy at 180 meV/atom. As for the uncorrected energy: -102.4 eV per cell. The calculation puts the energy above the lowest structure with this stoichiometry at 0.117 eV per atom. The size of the total moment is 3.79 μB/atom.

Unit cell a=3.5093 b=3.5093 c=36.7687 alpha=90.00 beta=90.00 gamma=120.00
With the nearest neighbours (Å) after each atom.
Space group R-3m (No. 166, hexagonal axes)
Inequivalent atoms, fractional coordinates:
Li  0.0000  0.0000  0.0000  2 Gd 3.23, 6 Li 3.51
Nd  0.0000  0.0000  0.5000  6 Nd 3.51, 6 Gd 3.54
Gd  0.0000  0.0000  0.0877  1 Li 3.23, 6 Gd 3.51, 3 Nd 3.54


No. 15
VASP calculation (PBE-GGA) on a relaxed structure of Li2NdGd.

Values from the calculation:
The calculation puts the theoretical density at 4.9 g/cm³. The calculation puts the calculated formation energy at 132 meV/atom. As for the uncorrected energy: -22.1 eV per cell. The calculation puts the energy above the lowest structure with this stoichiometry at 0.002 eV per atom. The size of the total moment is 2.05 μB/atom.

Unit cell a=5.3632 b=5.3632 c=3.7348 alpha=90.00 beta=90.00 gamma=90.00
With the nearest neighbours (Å) after each atom.
Space group P4/mmm (No. 123)
Inequivalent atoms, fractional coordinates:
Li  0.0000  0.5000  0.0000  4 Gd 3.27, 4 Nd 3.27
Nd  0.0000  0.0000  0.5000  8 Li 3.27
Gd  0.5000  0.5000  0.5000  8 Li 3.27


No. 16
VASP calculation (PBE-GGA) on a relaxed structure of Li2NdGd.

Values from the calculation:
The calculation puts the theoretical density at 4.9 g/cm³. The calculation puts the calculated formation energy at 130 meV/atom. As for the uncorrected energy: -88.6 eV per cell. The calculation puts the energy above the lowest structure with this stoichiometry at 0.000 eV per atom. The size of the total moment is 2.05 μB/atom.

Unit cell a=7.5417 b=7.5417 c=7.5417 alpha=90.00 beta=90.00 gamma=90.00
With the nearest neighbours (Å) after each atom.
Space group Fm-3m (No. 225)
Inequivalent atoms, fractional coordinates:
Li  0.2500  0.2500  0.2500  4 Gd 3.27, 4 Nd 3.27
Nd  0.0000  0.0000  0.0000  8 Li 3.27
Gd  0.0000  0.0000  0.5000  8 Li 3.27


No. 17
VASP calculation (PBE-GGA) on a relaxed structure of LiNd2Gd.

Values from the calculation:
The calculation puts the theoretical density at 6.1 g/cm³. The calculation puts the calculated formation energy at 65 meV/atom. As for the uncorrected energy: -25.3 eV per cell. The calculation puts the energy above the lowest structure with this stoichiometry at 0.000 eV per atom. The size of the total moment is 1.88 μB/atom.

Unit cell a=3.6804 b=3.6804 c=9.1192 alpha=90.00 beta=90.00 gamma=90.00
With the nearest neighbours (Å) after each atom.
Space group P4/mmm (No. 123)
Inequivalent atoms, fractional coordinates:
Li  0.0000  0.0000  0.0000  8 Nd 3.33, 4 Li 3.68
Nd  0.5000  0.5000  0.2273  4 Li 3.33, 4 Gd 3.60, 4 Nd 3.68
Gd  0.0000  0.0000  0.5000  8 Nd 3.60, 4 Gd 3.68


No. 18
VASP calculation (PBE-GGA) on a relaxed structure of LiNdGd2.

Values from the calculation:
The calculation puts the theoretical density at 6.5 g/cm³. The calculation puts the calculated formation energy at 63 meV/atom. As for the uncorrected energy: -34.6 eV per cell. The calculation puts the energy above the lowest structure with this stoichiometry at 0.000 eV per atom. The size of the total moment is 3.77 μB/atom.

Unit cell a=3.6639 b=3.6639 c=8.8991 alpha=90.00 beta=90.00 gamma=90.00
With the nearest neighbours (Å) after each atom.
Space group P4/mmm (No. 123)
Inequivalent atoms, fractional coordinates:
Li  0.0000  0.0000  0.0000  8 Gd 3.24
Nd  0.0000  0.0000  0.5000  8 Gd 3.60, 4 Nd 3.66
Gd  0.5000  0.5000  0.2184  4 Li 3.24, 4 Nd 3.60


No. 19
VASP calculation (PBE-GGA) on a relaxed structure of LiNd2Gd.

Values from the calculation:
The calculation puts the theoretical density at 5.6 g/cm³. The calculation puts the calculated formation energy at 168 meV/atom. As for the uncorrected energy: -74.6 eV per cell. The calculation puts the energy above the lowest structure with this stoichiometry at 0.103 eV per atom. The size of the total moment is 1.77 μB/atom.

Unit cell a=3.5289 b=3.5289 c=37.2915 alpha=90.00 beta=90.00 gamma=120.00
With the nearest neighbours (Å) after each atom.
Space group R-3m (No. 166, hexagonal axes)
Inequivalent atoms, fractional coordinates:
Li  0.0000  0.0000  0.0000  2 Nd 3.30, 6 Li 3.53
Nd  0.0000  0.0000  0.0886  1 Li 3.30, 6 Nd 3.53, 3 Gd 3.55
Gd  0.0000  0.0000  0.5000  6 Gd 3.53, 6 Nd 3.55


No. 20
VASP calculation (PBE-GGA) on a relaxed structure of Li2NdGd.

Values from the calculation:
The calculation puts the theoretical density at 4.4 g/cm³. The calculation puts the calculated formation energy at 276 meV/atom. As for the uncorrected energy: -64.7 eV per cell. The calculation puts the energy above the lowest structure with this stoichiometry at 0.146 eV per atom. The size of the total moment is 1.90 μB/atom.

Unit cell a=3.3688 b=3.3688 c=35.9951 alpha=90.00 beta=90.00 gamma=120.00
With the nearest neighbours (Å) after each atom.
Space group R-3m (No. 166, hexagonal axes)
Inequivalent atoms, fractional coordinates:
Li  0.0000  0.0000  0.0878  1 Gd 3.16, 6 Li 3.37, 3 Nd 3.44
Nd  0.0000  0.0000  0.5000  6 Nd 3.37, 6 Li 3.44
Gd  0.0000  0.0000  0.0000  2 Li 3.16, 6 Gd 3.37